No. 1
24
Lattice="-1.149 4.600 -1.700 -5.921 -0.162 -3.712 -8.074 3.544 7.915" Properties=species:S:1:pos:R:3 comment="Te3SeO8 (PBE, optimized geometry)" e_form_raw_ev_per_fu=-11.3 dos_at_fermi_per_ev_cell=0.00 pbc="T T T"
O -10.100 4.822 -1.398
O -5.044 3.160 3.901
O -6.397 1.077 0.250
O -8.746 6.906 2.252
O -5.426 4.963 -0.047
O -9.717 3.020 2.550
O -7.826 4.646 -3.954
O -7.318 3.336 6.457
O -8.084 3.108 0.316
O -7.059 4.875 2.186
O -3.545 2.664 0.243
O -11.598 5.318 2.260
O -3.679 3.984 -2.145
O -11.465 3.999 4.647
O -6.343 2.887 -1.901
O -8.801 5.095 4.404
Se -2.543 3.344 -0.979
Se -12.601 4.638 3.481
Te -7.716 1.617 -1.040
Te -7.428 6.366 3.543
Te -5.752 4.721 -1.946
Te -9.391 3.262 4.448
Te -5.547 3.826 1.599
Te -9.597 4.157 0.903


No. 2
4
Lattice="4.885 0.000 0.000 2.443 4.231 0.000 2.443 1.410 3.989" Properties=species:S:1:pos:R:3 comment="Tm2AlRu (PBE, optimized geometry)" final_energy_ev_per_atom=-5.90 dos_at_fermi_per_ev_cell=2.64 pbc="T T T"
Ru 7.328 4.231 2.992
Tm 4.886 5.641 3.989
Tm 4.885 2.821 1.995
Al 2.443 1.410 0.997


No. 3
12
Lattice="-3.243 2.686 -7.670 -0.784 -4.009 -1.931 -4.012 -2.030 0.556" Properties=species:S:1:pos:R:3 comment="Li5ZnCu6 (PBE, optimized geometry)" final_energy_ev_per_atom=-2.99 dos_at_fermi_per_ev_cell=4.27 pbc="T T T"
Zn 0.000 0.000 0.000
Cu -3.023 -0.994 -7.209
Cu -3.829 1.012 -5.735
Cu -2.596 -2.351 -2.858
Cu -4.210 -4.364 -3.309
Cu -5.443 -1.002 -6.187
Cu -1.003 -0.329 -2.392
Li -4.423 -0.678 -3.787
Li -3.196 -4.026 -0.917
Li -1.600 -2.013 -0.457
Li -2.013 -0.661 -4.800
Li -3.616 -2.674 -5.257


No. 4
8
Lattice="3.996 0.000 0.000 0.000 3.996 0.000 0.000 0.000 9.560" Properties=species:S:1:pos:R:3 comment="LiPaSbN (PBE, optimized geometry)" e_form_raw_ev_per_fu=-4.7 dos_at_fermi_per_ev_cell=1.22 pbc="T T T"
Li 0.000 0.000 4.780
Li 1.998 1.998 4.780
Pa 0.000 1.998 8.402
Pa 1.998 0.000 1.158
Sb 1.998 0.000 6.695
Sb 0.000 1.998 2.865
N 1.998 1.998 0.000
N 0.000 0.000 0.000


No. 5
8
Lattice="4.610 -5.949 0.000 4.610 5.949 0.000 0.000 0.000 5.830" Properties=species:S:1:pos:R:3 comment="K5Ag3 (PBE, optimized geometry)" e_above_lowest_polymorph_mev_per_atom=38 dos_at_fermi_per_ev_cell=3.92 pbc="T T T"
K 0.000 0.000 0.000
K 2.305 2.975 0.000
K 2.305 -2.975 0.000
K 2.738 0.000 2.915
K 6.482 0.000 2.915
Ag 4.610 0.000 0.000
Ag 4.610 -3.547 2.915
Ag 4.610 3.547 2.915


No. 6
4
Lattice="5.069 0.000 0.000 2.535 4.390 0.000 2.535 1.463 4.139" Properties=species:S:1:pos:R:3 comment="TbScPtPb (PBE, optimized geometry)" final_energy_ev_per_atom=-5.87 dos_at_fermi_per_ev_cell=1.82 pbc="T T T"
Pb 2.535 1.463 1.035
Sc 0.000 0.000 0.000
Tb 5.069 2.927 2.070
Pt 7.604 4.390 3.104


No. 7
4
Lattice="5.549 0.000 0.000 2.775 4.806 0.000 2.775 1.602 4.531" Properties=species:S:1:pos:R:3 comment="LiTbPrHo (PBE, optimized geometry)" final_energy_ev_per_atom=-3.81 dos_at_fermi_per_ev_cell=4.09 pbc="T T T"
Pr 0.000 0.000 0.000
Tb 5.549 3.204 2.265
Ho 8.324 4.806 3.398
Li 2.775 1.602 1.133


No. 8
18
Lattice="-3.966 -0.328 -1.196 1.356 -7.047 4.652 -2.519 7.335 6.347" Properties=species:S:1:pos:R:3 comment="TbAl3Pt2 (PBE, optimized geometry)" final_energy_ev_per_atom=-5.69 dos_at_fermi_per_ev_cell=7.51 pbc="T T T"
Tb -1.973 2.909 5.750
Tb -3.155 -2.948 4.054
Tb 0.000 0.000 0.000
Al -0.944 1.994 2.585
Al -4.185 -2.033 7.219
Al -1.254 -0.229 4.222
Al -3.875 0.189 5.582
Al -2.647 -0.539 1.708
Al -2.482 0.499 8.096
Al -3.243 3.504 2.576
Al -0.500 -4.428 2.872
Al -4.629 4.388 6.931
Pt -0.572 -1.898 2.416
Pt -4.557 1.858 7.388
Pt -1.143 -5.222 5.223
Pt -3.985 5.182 4.580
Pt -1.828 -1.193 6.392
Pt -3.300 1.153 3.412